Entry from the Alexandria database: a relaxed structure of NbAgF2 (GGA-PBE).

POSCAR file:
```
NbAgF2
1.0
-3.6849 3.6849 2.8372
3.6849 -3.6849 2.8372
3.6849 3.6849 -2.8372
Nb Ag F
2 2 4
Direct
0.0000 0.0000 0.0000
0.7500 0.2500 0.5000
0.2500 0.7500 0.5000
0.5000 0.5000 0.0000
0.3750 0.2281 0.3531
0.7719 0.1250 0.1469
0.8750 0.0219 0.6469
0.9781 0.6250 0.8531
```

## Properties
VASP energy = -41.0 eV for the cell shown
Uncorrected formation energy = -22.124 kcal/mol of atoms
E above lowest polymorph = 565 meV per atom

---

Entry from the Alexandria database: a relaxed structure of Li4NdGa (GGA-PBE).

POSCAR file:
```
Li4NdGa
1.0
0.0000 3.8575 3.8575
3.8575 0.0000 3.8575
3.8575 3.8575 0.0000
Li Nd Ga
4 1 1
Direct
0.1230 0.1230 0.1230
0.1230 0.1230 0.6309
0.1230 0.6309 0.1230
0.6309 0.1230 0.1230
0.5000 0.5000 0.5000
0.7500 0.7500 0.7500
```

## Properties
VASP energy = -16.0 eV for the cell shown
Energy relative to the elements = -0.093 eV/atom

---

Entry from the Alexandria database: a relaxed structure of KZr2Tl (GGA-PBE).

POSCAR file:
```
KZr2Tl
1.0
-2.3291 2.3291 4.7941
2.3291 -2.3291 4.7941
2.3291 2.3291 -4.7941
K Zr Tl
1 2 1
Direct
0.0000 0.0000 0.0000
0.5000 0.5000 0.0000
0.7500 0.2500 0.5000
0.2500 0.7500 0.5000
```

## Properties
VASP energy = -17.9 eV for the cell shown
Energy relative to the elements = 0.669 eV/atom
E above lowest polymorph = 508 meV per atom

---

Which formula does entry 3 have? KZr2Tl